# 1
MgAl2Cd2Pt5 after structural relaxation, computed with PBE.

a = 9.4340 Å, b = 9.4340 Å, c = 3.7751 Å
α = 90.00°, β = 90.00°, γ = 90.00°
Element x y z (fractional)
Mg 0.0000 0.0000 0.0000
Mg 0.5000 0.5000 0.0000
Al 0.1266 0.3734 0.0000
Al 0.3734 0.8734 0.0000
Al 0.6266 0.1266 0.0000
Al 0.8734 0.6266 0.0000
Cd 0.1728 0.6728 0.0000
Cd 0.3272 0.1728 0.0000
Cd 0.6728 0.8272 0.0000
Cd 0.8272 0.3272 0.0000
Pt 0.0000 0.5000 0.5000
Pt 0.0753 0.2009 0.5000
Pt 0.2009 0.9247 0.5000
Pt 0.2991 0.4247 0.5000
Pt 0.4247 0.7009 0.5000
Pt 0.5000 0.0000 0.5000
Pt 0.5753 0.2991 0.5000
Pt 0.7009 0.5753 0.5000
Pt 0.7991 0.0753 0.5000
Pt 0.9247 0.7991 0.5000

## Properties
ΔH_f (0 K) (eV/atom): -0.6187
Energy (eV/atom): -4.7301
D(E_F) (states/eV per cell): 5.9
SG: P4/mbm



# 2
MgScAlCd after structural relaxation, computed with PBE.

a = 4.8614 Å, b = 4.8614 Å, c = 4.8614 Å
α = 60.00°, β = 60.00°, γ = 60.00°
Element x y z (fractional)
Mg 0.0000 0.0000 0.0000
Sc 0.5000 0.5000 0.5000
Al 0.7500 0.7500 0.7500
Cd 0.2500 0.2500 0.2500

## Properties
ΔH_f (0 K) (eV/atom): -0.2202
Energy (eV/atom): -3.3662
D(E_F) (states/eV per cell): 1.0
SG: F-43m



# 3
SmMgAlCd after structural relaxation, computed with PBE.

a = 5.0804 Å, b = 5.0804 Å, c = 5.0804 Å
α = 60.00°, β = 60.00°, γ = 60.00°
Element x y z (fractional)
Sm 0.0000 0.0000 0.0000
Mg 0.5000 0.5000 0.5000
Al 0.7500 0.7500 0.7500
Cd 0.2500 0.2500 0.2500

## Properties
ΔH_f (0 K) (eV/atom): -0.2652
Energy (eV/atom): -3.0080
D(E_F) (states/eV per cell): 1.4
SG: F-43m



# 4
SrMg2AlCd4 after structural relaxation, computed with PBE.

a = 10.3481 Å, b = 10.3481 Å, c = 10.3481 Å
α = 27.00°, β = 27.00°, γ = 27.00°
Element x y z (fractional)
Sr 0.0000 0.0000 0.0000
Mg 0.2376 0.2376 0.2376
Mg 0.7624 0.7624 0.7624
Al 0.5000 0.5000 0.5000
Cd 0.1300 0.1300 0.1300
Cd 0.4007 0.4007 0.4007
Cd 0.5993 0.5993 0.5993
Cd 0.8700 0.8700 0.8700

## Properties
ΔH_f (0 K) (eV/atom): -0.1030
Energy (eV/atom): -1.6373
D(E_F) (states/eV per cell): 3.2
SG: R-3m



# 5
Sr2Mg3AlCd12 after structural relaxation, computed with PBE.

a = 13.7566 Å, b = 13.7566 Å, c = 13.7566 Å
α = 27.26°, β = 27.26°, γ = 27.26°
Element x y z (fractional)
Sr 0.1425 0.1425 0.1425
Sr 0.8575 0.8575 0.8575
Mg 0.0000 0.5000 0.5000
Mg 0.5000 0.0000 0.5000
Mg 0.5000 0.5000 0.0000
Al 0.5000 0.5000 0.5000
Cd 0.0967 0.0967 0.6378
Cd 0.0967 0.6378 0.0967
Cd 0.1097 0.6144 0.6144
Cd 0.3622 0.9033 0.9033
Cd 0.3856 0.3856 0.8903
Cd 0.3856 0.8903 0.3856
Cd 0.6144 0.1097 0.6144
Cd 0.6144 0.6144 0.1097
Cd 0.6378 0.0967 0.0967
Cd 0.8903 0.3856 0.3856
Cd 0.9033 0.3622 0.9033
Cd 0.9033 0.9033 0.3622

## Properties
ΔH_f (0 K) (eV/atom): -0.0364
Energy (eV/atom): -1.3070
D(E_F) (states/eV per cell): 9.8
SG: R-3m



# 6
Sr2Mg12AlCd3 after structural relaxation, computed with PBE.

a = 11.4561 Å, b = 11.4561 Å, c = 11.4561 Å
α = 37.92°, β = 37.92°, γ = 37.92°
Element x y z (fractional)
Sr 0.1454 0.1454 0.1454
Sr 0.8546 0.8546 0.8546
Mg 0.0852 0.0852 0.6897
Mg 0.0852 0.6897 0.0852
Mg 0.1351 0.5816 0.5816
Mg 0.3103 0.9148 0.9148
Mg 0.4184 0.4184 0.8649
Mg 0.4184 0.8649 0.4184
Mg 0.5816 0.1351 0.5816
Mg 0.5816 0.5816 0.1351
Mg 0.6897 0.0852 0.0852
Mg 0.8649 0.4184 0.4184
Mg 0.9148 0.3103 0.9148
Mg 0.9148 0.9148 0.3103
Al 0.5000 0.5000 0.5000
Cd 0.0000 0.5000 0.5000
Cd 0.5000 0.0000 0.5000
Cd 0.5000 0.5000 0.0000

## Properties
ΔH_f (0 K) (eV/atom): 0.1106
Energy (eV/atom): -1.4998
D(E_F) (states/eV per cell): 10.7
SG: R-3m



# 7
Sr2MgAl3Cd4 after structural relaxation, computed with PBE.

a = 4.6245 Å, b = 4.6245 Å, c = 11.8198 Å
α = 90.00°, β = 90.00°, γ = 90.00°
Element x y z (fractional)
Sr 0.0000 0.5000 0.2424
Sr 0.5000 0.0000 0.7576
Mg 0.0000 0.0000 0.5000
Al 0.0000 0.5000 0.8672
Al 0.5000 0.0000 0.1328
Al 0.5000 0.5000 0.5000
Cd 0.0000 0.0000 0.0000
Cd 0.0000 0.5000 0.6391
Cd 0.5000 0.0000 0.3609
Cd 0.5000 0.5000 0.0000

## Properties
ΔH_f (0 K) (eV/atom): -0.2013
Energy (eV/atom): -2.1860
D(E_F) (states/eV per cell): 5.7
SG: P-4m2



# 8
SrMgAl2Cd after structural relaxation, computed with PBE.

a = 6.9072 Å, b = 6.9072 Å, c = 6.9072 Å
α = 142.48°, β = 141.54°, γ = 54.81°
Element x y z (fractional)
Sr 0.0000 0.0000 0.0000
Mg 0.2413 0.7413 0.5000
Al 0.6093 0.6093 0.0000
Al 0.7375 0.2375 0.5000
Cd 0.3863 0.3863 0.0000

## Properties
ΔH_f (0 K) (eV/atom): -0.2076
Energy (eV/atom): -2.5430
D(E_F) (states/eV per cell): 2.2
SG: Imm2



# 9
SrMgAlCd2 after structural relaxation, computed with PBE.

a = 7.0365 Å, b = 7.0365 Å, c = 7.0365 Å
α = 142.18°, β = 142.18°, γ = 54.55°
Element x y z (fractional)
Sr 0.0000 0.0000 0.0000
Mg 0.2500 0.7500 0.5000
Al 0.7500 0.2500 0.5000
Cd 0.3862 0.3862 0.0000
Cd 0.6138 0.6138 0.0000

## Properties
ΔH_f (0 K) (eV/atom): -0.2082
Energy (eV/atom): -1.9780
D(E_F) (states/eV per cell): 2.9
SG: I-4m2



# 10
SrMgAlCd3 after structural relaxation, computed with PBE.

a = 7.7287 Å, b = 7.7287 Å, c = 6.4893 Å
α = 90.00°, β = 90.00°, γ = 125.28°
Element x y z (fractional)
Sr 0.1998 0.8002 0.7500
Sr 0.8002 0.1998 0.2500
Mg 0.4350 0.5650 0.7500
Mg 0.5650 0.4350 0.2500
Al 0.1411 0.8589 0.2500
Al 0.8589 0.1411 0.7500
Cd 0.2019 0.2019 0.0000
Cd 0.2019 0.2019 0.5000
Cd 0.3506 0.6494 0.2500
Cd 0.6494 0.3506 0.7500
Cd 0.7981 0.7981 0.0000
Cd 0.7981 0.7981 0.5000

## Properties
ΔH_f (0 K) (eV/atom): -0.0332
Energy (eV/atom): -1.6606
D(E_F) (states/eV per cell): 3.8
SG: Cmcm



# 11
MgTa2AlCd after structural relaxation, computed with PBE.

a = 4.7966 Å, b = 4.7966 Å, c = 4.8374 Å
α = 90.00°, β = 90.00°, γ = 90.00°
Element x y z (fractional)
Mg 0.0000 0.0000 0.0000
Ta 0.0000 0.5000 0.5000
Ta 0.5000 0.0000 0.5000
Al 0.0000 0.0000 0.5000
Cd 0.5000 0.5000 0.0000

## Properties
ΔH_f (0 K) (eV/atom): 1.0998
Energy (eV/atom): -4.8917
D(E_F) (states/eV per cell): 5.2
SG: P4/mmm



# 12
ThMgAlCd after structural relaxation, computed with PBE.

a = 5.1432 Å, b = 5.1432 Å, c = 5.1432 Å
α = 60.00°, β = 60.00°, γ = 60.00°
Element x y z (fractional)
Th 0.0000 0.0000 0.0000
Mg 0.5000 0.5000 0.5000
Al 0.7500 0.7500 0.7500
Cd 0.2500 0.2500 0.2500

## Properties
ΔH_f (0 K) (eV/atom): -0.0994
Energy (eV/atom): -3.5174
D(E_F) (states/eV per cell): 3.0
SG: F-43m



# 13
Y4MgAlCd2 after structural relaxation, computed with PBE.

a = 9.1466 Å, b = 9.1466 Å, c = 9.1466 Å
α = 33.52°, β = 33.52°, γ = 33.52°
Element x y z (fractional)
Y 0.1207 0.1207 0.1207
Y 0.3713 0.3713 0.3713
Y 0.6287 0.6287 0.6287
Y 0.8793 0.8793 0.8793
Mg 0.5000 0.5000 0.5000
Al 0.0000 0.0000 0.0000
Cd 0.2441 0.2441 0.2441
Cd 0.7559 0.7559 0.7559

## Properties
ΔH_f (0 K) (eV/atom): -0.3115
Energy (eV/atom): -4.4394
D(E_F) (states/eV per cell): 8.4
SG: R-3m



# 14
YMgAlCd after structural relaxation, computed with PBE.

a = 5.0277 Å, b = 5.0277 Å, c = 5.0277 Å
α = 60.00°, β = 60.00°, γ = 60.00°
Element x y z (fractional)
Y 0.0000 0.0000 0.0000
Mg 0.5000 0.5000 0.5000
Al 0.2500 0.2500 0.2500
Cd 0.7500 0.7500 0.7500

## Properties
ΔH_f (0 K) (eV/atom): -0.2625
Energy (eV/atom): -3.4416
D(E_F) (states/eV per cell): 1.0
SG: F-43m



# 15
MgAlZnCd after structural relaxation, computed with PBE.

a = 4.7707 Å, b = 4.7707 Å, c = 4.7707 Å
α = 60.00°, β = 60.00°, γ = 60.00°
Element x y z (fractional)
Mg 0.0000 0.0000 0.0000
Al 0.5000 0.5000 0.5000
Zn 0.2500 0.2500 0.2500
Cd 0.7500 0.7500 0.7500

## Properties
ΔH_f (0 K) (eV/atom): 0.0600
Energy (eV/atom): -1.8215
D(E_F) (states/eV per cell): 1.6
SG: F-43m



# 16
MgZrAlCd after structural relaxation, computed with PBE.

a = 4.1802 Å, b = 4.2033 Å, c = 4.5348 Å
α = 90.00°, β = 90.00°, γ = 90.00°
Element x y z (fractional)
Mg 0.0000 0.0000 0.0000
Zr 0.0000 0.5000 0.5000
Al 0.5000 0.0000 0.5000
Cd 0.5000 0.5000 0.0000

## Properties
ΔH_f (0 K) (eV/atom): -0.2548
Energy (eV/atom): -3.9549
D(E_F) (states/eV per cell): 2.1
SG: Pmmm



# 17
MnAl3Cd after structural relaxation, computed with PBE.

a = 4.5851 Å, b = 4.5851 Å, c = 4.5851 Å
α = 90.00°, β = 90.00°, γ = 90.00°
Element x y z (fractional)
Mn 0.0000 0.0000 0.0000
Al 0.0000 0.0000 0.5000
Al 0.0000 0.5000 0.0000
Al 0.5000 0.0000 0.0000
Cd 0.5000 0.5000 0.5000

## Properties
ΔE to the lowest computed polymorph (meV per atom): 0
ΔH_f (0 K) (eV/atom): 0.2824
Energy (eV/atom): -3.9801
D(E_F) (states/eV per cell): 3.5
SG: Pm-3m



# 18
MnAl2Cd after structural relaxation, computed with PBE.

a = 4.8563 Å, b = 2.9248 Å, c = 5.0166 Å
α = 90.00°, β = 111.95°, γ = 90.00°
Element x y z (fractional)
Mn 0.0000 0.0000 0.0000
Al 0.5000 0.0000 0.5000
Al 0.5000 0.5000 0.0000
Cd 0.0000 0.5000 0.5000

## Properties
ΔH_f (0 K) (eV/atom): 0.0884
Energy (eV/atom): -4.3041
D(E_F) (states/eV per cell): 1.9
SG: P2/m



# 19
Mn2AlCd after structural relaxation, computed with PBE.

a = 2.8470 Å, b = 3.6322 Å, c = 5.8775 Å
α = 90.00°, β = 90.00°, γ = 90.00°
Element x y z (fractional)
Mn 0.0000 0.0000 0.2218
Mn 0.0000 0.0000 0.7782
Al 0.5000 0.5000 0.0000
Cd 0.5000 0.5000 0.5000

## Properties
ΔH_f (0 K) (eV/atom): 0.0750
Energy (eV/atom): -5.6742
D(E_F) (states/eV per cell): 2.8
SG: Pmmm



# 20
MnAl2Cd after structural relaxation, computed with PBE.

a = 5.9192 Å, b = 5.9192 Å, c = 5.9192 Å
α = 102.39°, β = 102.39°, γ = 124.80°
Element x y z (fractional)
Mn 0.0000 0.0000 0.0000
Mn 0.7500 0.2500 0.5000
Al 0.1042 0.6250 0.9792
Al 0.3750 0.3542 0.4792
Al 0.6458 0.1250 0.0208
Al 0.8750 0.8958 0.5208
Cd 0.2500 0.7500 0.5000
Cd 0.5000 0.5000 0.0000

## Properties
ΔH_f (0 K) (eV/atom): 0.4226
Energy (eV/atom): -3.9699
D(E_F) (states/eV per cell): 5.4
SG: I-42d



# 21
MnAl2Cd after structural relaxation, computed with PBE.

a = 5.0169 Å, b = 5.0169 Å, c = 5.0169 Å
α = 134.65°, β = 134.65°, γ = 66.07°
Element x y z (fractional)
Mn 0.0000 0.0000 0.0000
Al 0.2500 0.7500 0.5000
Al 0.5000 0.5000 0.0000
Cd 0.7500 0.2500 0.5000

## Properties
ΔH_f (0 K) (eV/atom): 0.0632
Energy (eV/atom): -4.3292
D(E_F) (states/eV per cell): 2.5
SG: I-4m2



# 22
Mn2AlCd after structural relaxation, computed with PBE.

a = 4.7389 Å, b = 4.7389 Å, c = 2.8493 Å
α = 90.00°, β = 90.00°, γ = 106.48°
Element x y z (fractional)
Mn 0.0000 0.5000 0.0000
Mn 0.5000 0.0000 0.0000
Al 0.0000 0.0000 0.5000
Cd 0.5000 0.5000 0.5000

## Properties
ΔH_f (0 K) (eV/atom): 0.1168
Energy (eV/atom): -5.6324
D(E_F) (states/eV per cell): 3.4
SG: Cmmm



# 23
Mn2AlCd after structural relaxation, computed with PBE.

a = 9.1300 Å, b = 9.1300 Å, c = 9.1300 Å
α = 18.09°, β = 18.09°, γ = 18.09°
Element x y z (fractional)
Mn 0.2436 0.2436 0.2436
Mn 0.7564 0.7564 0.7564
Al 0.5000 0.5000 0.5000
Cd 0.0000 0.0000 0.0000

## Properties
ΔH_f (0 K) (eV/atom): 0.1932
Energy (eV/atom): -5.5560
D(E_F) (states/eV per cell): 4.0
SG: R-3m



# 24
MnAlCd3 after structural relaxation, computed with PBE.

a = 5.1730 Å, b = 5.1730 Å, c = 5.1730 Å
α = 90.00°, β = 90.00°, γ = 90.00°
Element x y z (fractional)
Mn 0.0000 0.0000 0.0000
Al 0.5000 0.5000 0.5000
Cd 0.0000 0.0000 0.5000
Cd 0.0000 0.5000 0.0000
Cd 0.5000 0.0000 0.0000

## Properties
ΔE to the lowest computed polymorph (meV per atom): 0
ΔH_f (0 K) (eV/atom): 0.7118
Energy (eV/atom): -2.4197
D(E_F) (states/eV per cell): 5.3
SG: Pm-3m



# 25
Mn2AlCd after structural relaxation, computed with PBE.

a = 4.4628 Å, b = 4.4628 Å, c = 4.4628 Å
α = 60.00°, β = 60.00°, γ = 60.00°
Element x y z (fractional)
Mn 0.0000 0.0000 0.0000
Mn 0.2500 0.2500 0.2500
Al 0.7500 0.7500 0.7500
Cd 0.5000 0.5000 0.5000

## Properties
ΔH_f (0 K) (eV/atom): 0.3115
Energy (eV/atom): -5.4377
D(E_F) (states/eV per cell): 6.6
SG: F-43m



# 26
Mn3AlCd after structural relaxation, computed with PBE.

a = 4.5567 Å, b = 4.5567 Å, c = 4.5567 Å
α = 90.00°, β = 90.00°, γ = 90.00°
Element x y z (fractional)
Mn 0.0000 0.0000 0.5000
Mn 0.0000 0.5000 0.0000
Mn 0.5000 0.0000 0.0000
Al 0.0000 0.0000 0.0000
Cd 0.5000 0.5000 0.5000

## Properties
ΔE to the lowest computed polymorph (meV per atom): 0
ΔH_f (0 K) (eV/atom): 0.8365
Energy (eV/atom): -5.5968
D(E_F) (states/eV per cell): 3.5
SG: Pm-3m